Entry 1:
First-principles (GGA-PBE) data for crystalline CdBiF2 at its relaxed geometry, as listed in the Alexandria database.

Properties
ΔE to the lowest computed polymorph ... 373 meV/atom
Total magnetization ... 0.00 μB/f.u.
Symmetry ... Fm-3m (225)
Calculated total energy ... -3.19 eV/atom
Crystal system ... cubic

POSCAR file:
```
CdBiF2
1.0
0.000 3.283 3.283
3.283 0.000 3.283
3.283 3.283 0.000
Cd F Bi
1 2 1
direct
0.000 0.000 0.000
0.250 0.250 0.250
0.750 0.750 0.750
0.500 0.500 0.500
```

=====

Entry 2:
First-principles (GGA-PBE) data for crystalline CdBiF3 at its relaxed geometry, as listed in the Alexandria database.

Properties
ΔE to the lowest computed polymorph ... 276 meV/atom
Total magnetization ... 0.00 μB/f.u.
Symmetry ... Pm-3m (221)
Calculated total energy ... -3.54 eV/atom
Crystal system ... cubic

POSCAR file:
```
CdBiF3
1.0
4.472 0.000 0.000
0.000 4.472 0.000
0.000 0.000 4.472
F Cd Bi
3 1 1
direct
0.500 0.000 0.000
0.000 0.500 0.000
0.000 0.000 0.500
0.000 0.000 0.000
0.500 0.500 0.500
```

=====

Entry 3:
First-principles (GGA-PBE) data for crystalline CdBi2F8 at its relaxed geometry, as listed in the Alexandria database.

Properties
ΔE to the lowest computed polymorph ... 103 meV/atom
Total magnetization ... 0.00 μB/f.u.
Symmetry ... P-3m1 (164)
Calculated total energy ... -4.41 eV/atom
Crystal system ... trigonal

POSCAR file:
```
CdBi2F8
1.0
-1.691 -3.574 2.413
-3.194 -2.498 -5.937
6.691 -2.069 1.624
F Bi Cd
8 2 1
direct
0.256 0.684 0.842
0.744 0.842 0.684
0.717 0.333 0.667
0.256 0.158 0.842
0.744 0.842 0.158
0.744 0.316 0.158
0.283 0.667 0.333
0.256 0.158 0.316
0.767 0.667 0.333
0.233 0.333 0.667
0.500 0.000 0.000
```

=====

Entry 4:
First-principles (GGA-PBE) data for crystalline Cd2BiF2 at its relaxed geometry, as listed in the Alexandria database.

Properties
Total magnetization ... 0.00 μB/f.u.
Symmetry ... I4/mmm (139)
Calculated total energy ... -2.82 eV/atom
Crystal system ... tetragonal

POSCAR file:
```
Cd2BiF2
1.0
-3.204 -3.233 -0.628
3.283 -3.205 -0.248
-0.240 -3.879 4.388
Bi F Cd
1 2 2
direct
0.000 0.000 0.000
0.335 0.335 0.330
0.665 0.665 0.670
0.750 0.250 0.500
0.250 0.750 0.500
```

=====

Entry 5:
First-principles (GGA-PBE) data for crystalline CdBiF5 at its relaxed geometry, as listed in the Alexandria database.

Properties
ΔE to the lowest computed polymorph ... 69 meV/atom
Total magnetization ... 0.00 μB/f.u.
Symmetry ... Immm (71)
Calculated total energy ... -4.24 eV/atom
Crystal system ... orthorhombic

POSCAR file:
```
CdBiF5
1.0
-3.047 -2.091 1.894
2.378 -3.764 4.221
-1.117 2.484 5.497
F Cd Bi
5 1 1
direct
0.244 0.756 0.756
0.500 0.176 0.824
0.756 0.244 0.244
0.500 0.824 0.176
0.000 0.500 0.500
0.500 0.500 0.500
0.000 0.000 0.000
```

=====

Entry 6:
First-principles (GGA-PBE) data for crystalline Cd12Bi3F5 at its relaxed geometry, as listed in the Alexandria database.

Properties
Total magnetization ... 0.00 μB/f.u.
Symmetry ... Ia-3d (230)
Calculated total energy ... -2.18 eV/atom
Crystal system ... cubic

POSCAR file:
```
Cd12Bi3F5
1.0
-12.190 3.289 5.694
0.496 -13.652 -2.283
10.238 3.619 8.598
Cd Bi F
48 12 20
direct
0.602 0.708 0.683
0.183 0.081 0.975
0.817 0.898 0.292
0.792 0.317 0.898
0.292 0.398 0.817
0.919 0.102 0.894
0.398 0.106 0.581
0.683 0.208 0.602
0.419 0.025 0.317
0.919 0.817 0.525
0.975 0.581 0.183
0.317 0.525 0.419
0.683 0.475 0.581
0.183 0.102 0.708
0.106 0.398 0.081
0.394 0.419 0.102
0.792 0.475 0.394
0.208 0.525 0.606
0.581 0.975 0.683
0.292 0.894 0.975
0.081 0.183 0.475
0.081 0.898 0.106
0.475 0.683 0.081
0.317 0.792 0.398
0.817 0.919 0.025
0.898 0.081 0.606
0.602 0.894 0.419
0.419 0.394 0.602
0.708 0.106 0.025
0.898 0.817 0.792
0.394 0.975 0.792
0.606 0.025 0.208
0.475 0.792 0.894
0.208 0.683 0.102
0.025 0.419 0.817
0.894 0.292 0.475
0.975 0.394 0.292
0.894 0.602 0.919
0.106 0.708 0.525
0.581 0.606 0.398
0.102 0.183 0.208
0.708 0.602 0.183
0.398 0.292 0.317
0.525 0.208 0.106
0.606 0.581 0.898
0.102 0.919 0.394
0.025 0.606 0.708
0.525 0.317 0.919
0.125 0.250 0.875
0.375 0.750 0.625
0.875 0.125 0.250
0.625 0.375 0.750
0.250 0.125 0.375
0.250 0.625 0.875
0.625 0.250 0.375
0.750 0.375 0.125
0.750 0.875 0.625
0.875 0.750 0.125
0.125 0.875 0.750
0.375 0.625 0.250
0.625 0.875 0.250
0.875 0.625 0.750
0.250 0.375 0.625
0.875 0.250 0.625
0.250 0.875 0.125
0.500 0.000 0.500
0.125 0.375 0.250
0.500 0.000 0.000
0.750 0.125 0.875
0.625 0.750 0.875
0.500 0.500 0.500
0.125 0.750 0.375
0.375 0.125 0.750
0.000 0.500 0.500
0.500 0.500 0.000
0.000 0.000 0.500
0.000 0.500 0.000
0.750 0.625 0.375
0.000 0.000 0.000
0.375 0.250 0.125
```

=====

Entry 7:
First-principles (GGA-PBE) data for crystalline CdBiF2 at its relaxed geometry, as listed in the Alexandria database.

Properties
ΔE to the lowest computed polymorph ... 0 meV/atom
Total magnetization ... 0.00 μB/f.u.
Symmetry ... R-3m (166)
Calculated total energy ... -3.57 eV/atom
Crystal system ... trigonal

POSCAR file:
```
CdBiF2
1.0
4.009 -6.802 3.312
5.353 -6.681 0.117
6.668 -4.683 2.628
Bi F Cd
1 2 1
direct
0.000 0.000 0.000
0.878 0.878 0.878
0.122 0.122 0.122
0.500 0.500 0.500
```

=====

Entry 8:
First-principles (GGA-PBE) data for crystalline CdBi3F at its relaxed geometry, as listed in the Alexandria database.

Properties
ΔE to the lowest computed polymorph ... 0 meV/atom
Total magnetization ... 0.00 μB/f.u.
Symmetry ... Pm-3m (221)
Calculated total energy ... -3.08 eV/atom
Crystal system ... cubic

POSCAR file:
```
CdBi3F
1.0
-3.948 2.753 -1.824
-2.307 -0.265 4.593
2.363 4.341 1.437
Bi Cd F
3 1 1
direct
0.000 0.500 0.000
0.000 0.000 0.500
0.500 0.000 0.000
0.500 0.500 0.500
0.000 0.000 0.000
```

=====

Entry 9:
First-principles (GGA-PBE) data for crystalline CdBi3F at its relaxed geometry, as listed in the Alexandria database.

Properties
ΔE to the lowest computed polymorph ... 557 meV/atom
Total magnetization ... 0.00 μB/f.u.
Symmetry ... Pm-3m (221)
Calculated total energy ... -2.52 eV/atom
Crystal system ... cubic

POSCAR file:
```
CdBi3F
1.0
5.657 0.000 0.000
0.000 5.657 0.000
0.000 0.000 5.657
Bi Cd F
3 1 1
direct
0.000 0.000 0.500
0.000 0.500 0.000
0.500 0.000 0.000
0.000 0.000 0.000
0.500 0.500 0.500
```

=====

Entry 10:
First-principles (GGA-PBE) data for crystalline CdHgBiF2 at its relaxed geometry, as listed in the Alexandria database.

Properties
Total magnetization ... 0.00 μB/f.u.
Symmetry ... P4/mmm (123)
Calculated total energy ... -2.94 eV/atom
Crystal system ... tetragonal

POSCAR file:
```
CdHgBiF2
1.0
-3.342 -2.873 -1.193
1.397 -2.951 3.192
-3.791 2.688 4.146
Hg F Cd Bi
1 2 1 1
direct
0.500 0.500 0.500
0.000 0.500 0.000
0.500 0.000 0.000
0.000 0.000 0.500
0.000 0.000 0.000
```

=====

Entry 11:
First-principles (GGA-PBE) data for crystalline K2CdBiF8 at its relaxed geometry, as listed in the Alexandria database.

Properties
Total magnetization ... 0.00 μB/f.u.
Symmetry ... P2/m (10)
Calculated total energy ... -4.18 eV/atom
Crystal system ... monoclinic

POSCAR file:
```
K2CdBiF8
1.0
3.907 -0.052 -0.002
0.075 6.243 -0.007
0.005 0.010 8.065
F Bi Cd K
8 1 1 2
direct
0.502 0.788 0.000
0.500 0.802 0.500
0.999 0.209 0.277
0.999 0.209 0.723
0.500 0.198 0.500
0.498 0.212 0.000
0.001 0.791 0.277
0.001 0.791 0.723
0.000 0.000 0.500
0.000 0.000 0.000
0.500 0.500 0.237
0.500 0.500 0.763
```

=====

Entry 12:
First-principles (GGA-PBE) data for crystalline KCdBiF6 at its relaxed geometry, as listed in the Alexandria database.

Properties
Total magnetization ... 0.00 μB/f.u.
Symmetry ... P-31c (163)
Calculated total energy ... -4.36 eV/atom
Crystal system ... trigonal

POSCAR file:
```
KCdBiF6
1.0
6.211 0.000 0.000
-3.106 5.379 0.000
0.000 0.000 10.543
F Cd K Bi
12 2 2 2
direct
0.632 0.633 0.140
0.001 0.633 0.360
0.001 0.368 0.140
0.367 0.368 0.360
0.633 0.632 0.640
0.367 0.999 0.140
0.999 0.367 0.640
0.999 0.632 0.860
0.368 0.001 0.640
0.632 0.999 0.360
0.633 0.001 0.860
0.368 0.367 0.860
0.333 0.667 0.250
0.667 0.333 0.750
0.000 0.000 0.000
0.000 0.000 0.500
0.333 0.667 0.750
0.667 0.333 0.250
```

=====

- Which of these has the lowest calculated total energy?
  CdBi2F8

=====

- Which value of total magnetization does entry 12 give?
  0.00 μB/f.u.